1.
A plane-wave DFT calculation with GGA-PBE was carried out for a relaxed structure of Cs3AgSe.

Results
Relative energy among the computed polymorphs   73 meV per atom
Uncorrected formation energy   -0.51 eV/atom

abc: 6.939 6.939 6.939
angles: 90.00 90.00 90.00
Fractional positions:
Cs1 0.000 0.500 0.000
Cs2 0.000 0.000 0.500
Cs3 0.500 0.000 0.000
Se1 0.000 0.000 0.000
Ag1 0.500 0.500 0.500

***

2.
A plane-wave DFT calculation with GGA-PBE was carried out for a relaxed structure of CsAgSe3.

Results
Uncorrected formation energy   -0.38 eV/atom

abc: 6.419 7.889 7.446
angles: 108.67 104.94 92.68
Fractional positions:
Cs1 0.452 0.727 0.685
Cs2 0.999 0.175 0.962
Ag1 0.997 0.723 0.167
Ag2 0.455 0.179 0.480
Se1 0.466 0.337 0.876
Se2 0.402 0.834 0.210
Se3 0.825 0.326 0.464
Se4 0.985 0.564 0.771
Se5 0.049 0.067 0.437
Se6 0.627 0.575 0.184

***

Summary of VASP energy in hartree per atom
-0.084, -0.118
(order as listed above)